A plane-wave DFT calculation with PBE-GGA was carried out for an optimized crystal structure of AlCrSe2Br.

Cell: 4.9288 4.9288 5.0269 Å, 90.00 90.00 90.00°
Last column: nearest neighbours and their distance in Å.
Fractional coordinates of all 5 atoms:
1 Al 0.0000 0.0000 0.0000  4 Se 2.46, 2 Br 2.51
2 Cr 0.5000 0.5000 0.5000  4 Br 3.49, 8 Se 3.52
3 Se 0.0000 0.5000 0.0000  2 Al 2.46
4 Se 0.5000 0.0000 0.0000  2 Al 2.46
5 Br 0.0000 0.0000 0.5000  2 Al 2.51

Distance to the lowest polymorph of the same formula in meV/atom: 83
Space group: P4/mmm, No. 123
E_form (uncorrected) in eV per atom: 0.106
Crystal system: tetragonal
Total DFT energy (no corrections) in eV/atom: -4.295